Entry from the Alexandria database: a crystal of MoAsI3 relaxed with PBEsol (meta-GGA SCAN).

```
MoAsI3
1.0
5.388 0.000 0.000
0.000 5.388 0.000
0.000 0.000 5.388
I Mo As
3 1 1
Direct
0.000 0.500 0.000
0.000 0.000 0.500
0.500 0.000 0.000
0.000 0.000 0.000
0.500 0.500 0.500
```

## Properties
Fermi-level density of states: 3.42 states/eV per cell
E_form (uncorrected): 0.6651 eV per atom


Entry from the Alexandria database: a crystal of CoGePN2 relaxed with PBEsol (meta-GGA SCAN).

```
CoGePN2
1.0
-1.619 -0.609 2.737
-2.700 -0.514 -1.712
1.628 -6.752 -0.540
P Ge Co N
1 1 1 2
Direct
0.000 0.000 0.000
0.000 0.000 0.500
0.500 0.500 0.500
0.000 0.500 0.000
0.500 0.000 0.000
```

## Properties
Fermi-level density of states: 2.48 states/eV per cell
E_form (uncorrected): 0.9049 eV per atom


Entry from the Alexandria database: a crystal of Cr2TeW relaxed with PBEsol (meta-GGA SCAN).

```
Cr2TeW
1.0
3.116 0.000 0.000
0.000 3.116 0.000
0.000 0.000 6.013
Cr Te W
2 1 1
Direct
0.000 0.000 0.738
0.000 0.000 0.262
0.500 0.500 0.000
0.500 0.500 0.500
```

## Properties
Fermi-level density of states: 3.83 states/eV per cell
E_form (uncorrected): 0.4455 eV per atom


Entry from the Alexandria database: a crystal of Li3Mn2VO6 relaxed with PBEsol (meta-GGA SCAN).

```
Li3Mn2VO6
1.0
2.817 0.000 0.000
0.000 5.727 0.044
-1.409 -1.441 6.772
Li Mn V O
3 2 1 6
Direct
0.500 0.500 0.000
0.153 0.821 0.306
0.847 0.179 0.694
0.165 0.338 0.330
0.835 0.662 0.670
0.500 0.000 0.000
0.648 0.096 0.296
0.352 0.904 0.704
0.332 0.427 0.663
0.668 0.573 0.337
0.004 0.763 0.007
0.996 0.237 0.993
```

## Properties
Fermi-level density of states: 0.50 states/eV per cell
E_form (uncorrected): -2.3364 eV per atom


Entry from the Alexandria database: a crystal of TaTc2RhF relaxed with PBEsol (meta-GGA SCAN).

```
TaTc2RhF
1.0
-1.517 2.406 2.805
-0.490 -3.136 2.425
3.999 0.630 1.623
F Rh Tc Ta
1 1 2 1
Direct
0.000 0.000 0.000
0.000 0.000 0.500
0.000 0.500 0.000
0.500 0.000 0.000
0.500 0.500 0.500
```

## Properties
Fermi-level density of states: 3.63 states/eV per cell
E_form (uncorrected): 0.4123 eV per atom


Entry from the Alexandria database: a crystal of Al2CdTe2 relaxed with PBEsol (meta-GGA SCAN).

```
Al2CdTe2
1.0
4.976 0.000 0.000
0.000 4.976 0.000
-2.488 -2.488 5.978
Te Al Cd
2 2 1
Direct
0.352 0.352 0.703
0.648 0.648 0.297
0.250 0.750 0.500
0.750 0.250 0.500
0.000 0.000 0.000
```

## Properties
Fermi-level density of states: 1.76 states/eV per cell
E_form (uncorrected): 0.1199 eV per atom


Which of these has the lowest E_form (uncorrected)?
Li3Mn2VO6


Which value of E_form (uncorrected) does entry 1 give?
0.6651 eV per atom